(1)
! Li2CdRh, relaxed, DFT GGA-PBE; values from VASP
&SYSTEM
  ibrav = 0, nat = 4, ntyp = 3
/
ATOMIC_SPECIES
Cd 112.41 Cd.upf
Li 6.94 Li.upf
Rh 102.91 Rh.upf
ATOMIC_POSITIONS crystal
Cd 0.500 0.500 0.740
Li 0.000 0.000 0.994
Li 0.500 0.500 0.276
Rh 0.000 0.000 0.489
CELL_PARAMETERS angstrom
-1.565 1.789 -1.524
-1.597 -1.425 1.841
1.366 6.471 6.192
! Total magnetic moment   0.00 μB/f.u.
! Formation enthalpy at 0 K   -0.02 eV/atom
! Crystal system   orthorhombic

=====

(2)
! Li6Cd2Rh, relaxed, DFT GGA-PBE; values from VASP
&SYSTEM
  ibrav = 0, nat = 9, ntyp = 3
/
ATOMIC_SPECIES
Li 6.94 Li.upf
Cd 112.41 Cd.upf
Rh 102.91 Rh.upf
ATOMIC_POSITIONS crystal
Li 0.814 0.000 0.685
Li 0.186 0.315 0.315
Li 0.186 0.000 0.315
Li 0.500 0.314 0.000
Li 0.814 0.685 0.685
Li 0.500 0.686 0.000
Cd 0.334 0.333 0.667
Cd 0.666 0.667 0.333
Rh 0.000 0.000 0.000
CELL_PARAMETERS angstrom
2.676 0.393 0.225
-0.728 7.032 -3.624
2.145 -0.084 8.113
! Relative energy among the computed polymorphs   0.000 eV/atom
! Total magnetic moment   0.43 μB/f.u.
! Formation enthalpy at 0 K   -0.16 eV/atom
! Crystal system   monoclinic

=====

(3)
! Li5Cd4Rh, relaxed, DFT GGA-PBE; values from VASP
&SYSTEM
  ibrav = 0, nat = 10, ntyp = 3
/
ATOMIC_SPECIES
Li 6.94 Li.upf
Cd 112.41 Cd.upf
Rh 102.91 Rh.upf
ATOMIC_POSITIONS crystal
Li 0.780 0.360 0.000
Li 0.140 0.000 0.640
Li 0.780 0.000 0.360
Li 0.140 0.640 0.000
Li 0.730 0.000 0.000
Cd 0.420 0.315 0.685
Cd 0.735 0.685 0.685
Cd 0.105 0.315 0.315
Cd 0.420 0.685 0.315
Rh 0.258 0.000 0.000
CELL_PARAMETERS angstrom
-4.225 0.134 2.220
-4.114 -4.527 -2.421
-0.075 -3.988 5.232
! Total magnetic moment   0.00 μB/f.u.
! Formation enthalpy at 0 K   -0.12 eV/atom
! Crystal system   tetragonal